Density functional theory data (PBE-GGA) for a relaxed HgSbCl2 crystal.

a b c (Å): 4.6343 4.6343 8.9365
angles (deg): 90.00 90.00 90.00
With the nearest neighbours (Å) after each atom.
Space group I4/mmm (No. 139)
Unique sites:
Hg (0.0000, 0.0000, 0.0000) (multiplicity 2)  8 Cl 3.22, 4 Sb 3.28
Sb (0.0000, 0.0000, 0.5000) (multiplicity 2)  8 Cl 3.22, 4 Hg 3.28
Cl (0.0000, 0.5000, 0.2500) (multiplicity 4)  4 Hg 3.22, 4 Sb 3.22, 4 Cl 3.28

Computed properties:
- Electronic total energy: -16.480 eV/cell
- Raw formation energy: -31 meV per atom
- Energy relative to the lowest polymorph listed for this composition: 0.4281 eV/atom